1.
Material: LaNdGaPd
Method: DFT, PBE-GGA
State: optimized geometry

## Properties
Spin magnetization, μB/cell: 0.0
Excess energy over the best structure of this formula in the dataset, meV per atom: 66.1
DFT formation energy, eV per atom: -0.598
Density of states at the Fermi level, states/eV/f.u.: 3.9

a = 7.416 Å, b = 7.416 Å, c = 7.416 Å
α = 90.00°, β = 90.00°, γ = 90.00°
Space group F-43m (No. 216)
Symmetry-distinct sites (fractional):
La (0.000, 0.000, 0.000) [4 per cell]
Nd (0.000, 0.000, 0.500) [4 per cell]
Ga (0.250, 0.250, 0.750) [4 per cell]
Pd (0.250, 0.250, 0.250) [4 per cell]

2.
Material: LaNdGa2Pd2
Method: DFT, PBE-GGA
State: optimized geometry

## Properties
Spin magnetization, μB/cell: 0.0
DFT formation energy, eV per atom: -0.815
Density of states at the Fermi level, states/eV/f.u.: 3.7

a = 4.5676 Å, b = 4.5676 Å, c = 7.3535 Å
α = 90.00°, β = 90.00°, γ = 120.00°
Space group P-3m1 (No. 164)
Symmetry-distinct sites (fractional):
La (0.0000, 0.0000, 0.0000) [1 per cell]
Nd (0.0000, 0.0000, 0.5000) [1 per cell]
Ga (0.3333, 0.6667, 0.2616) [2 per cell]
Pd (0.3333, 0.6667, 0.7410) [2 per cell]

3.
Material: LaNdGa2Pd5
Method: DFT, PBE-GGA
State: optimized geometry

## Properties
Spin magnetization, μB/cell: 0.0
DFT formation energy, eV per atom: -0.796
Density of states at the Fermi level, states/eV/f.u.: 6.7

a = 4.344 Å, b = 4.344 Å, c = 9.234 Å
α = 90.00°, β = 90.00°, γ = 90.00°
Space group P4/mmm (No. 123)
Symmetry-distinct sites (fractional):
La (0.000, 0.000, 0.000) [1 per cell]
Nd (0.000, 0.000, 0.500) [1 per cell]
Ga (0.500, 0.500, 0.143) [2 per cell]
Pd (0.000, 0.500, 0.278) [4 per cell]
Pd (0.500, 0.500, 0.500) [1 per cell]

4.
Material: LaNdGaPd
Method: DFT, PBE-GGA
State: optimized geometry

## Properties
Spin magnetization, μB/cell: 0.0
Excess energy over the best structure of this formula in the dataset, meV per atom: 0.0
DFT formation energy, eV per atom: -0.664
Density of states at the Fermi level, states/eV/f.u.: 4.1

a = 4.507 Å, b = 4.395 Å, c = 10.594 Å
α = 90.00°, β = 90.00°, γ = 90.00°
Space group Amm2 (No. 38)
Symmetry-distinct sites (fractional):
La (0.000, 0.000, 0.000) [2 per cell]
Nd (0.500, 0.000, 0.715) [2 per cell]
Ga (0.500, 0.000, 0.423) [2 per cell]
Pd (0.000, 0.000, 0.282) [2 per cell]